Model one:
DFT (PBE-GGA) results for a geometry-optimized Cr3RhSe structure.

Computed properties:
Total magnetization = 6.92 μB per formula unit

a b c (Å): 4.411 4.411 4.411
angles (deg): 90.00 90.00 90.00
Atoms (fractional coordinates):
Cr 0.000 0.000 0.500
Cr 0.000 0.500 0.000
Cr 0.500 0.000 0.000
Rh 0.500 0.500 0.500
Se 0.000 0.000 0.000

=====

Model two:
DFT (PBE-GGA) results for a geometry-optimized Cr3RhSe structure.

Computed properties:
Total magnetization = 11.73 μB per formula unit

a b c (Å): 4.765 4.765 4.765
angles (deg): 90.00 90.00 90.00
Atoms (fractional coordinates):
Cr 0.000 0.000 0.500
Cr 0.000 0.500 0.000
Cr 0.500 0.000 0.000
Rh 0.000 0.000 0.000
Se 0.500 0.500 0.500

=====

Of them, model two has the lowest stability.

=====

Model one:
DFT (PBE-GGA) results for a geometry-optimized CrRhSe3 structure.

Computed properties:
Total magnetization = 3.00 μB per formula unit

a b c (Å): 8.030 8.030 6.680
angles (deg): 97.35 97.35 84.41
Atoms (fractional coordinates):
Cr 0.168 0.311 0.013
Cr 0.311 0.168 0.513
Cr 0.689 0.832 0.487
Cr 0.832 0.689 0.987
Rh 0.247 0.753 0.250
Rh 0.410 0.590 0.750
Rh 0.590 0.410 0.250
Rh 0.753 0.247 0.750
Se 0.055 0.189 0.681
Se 0.136 0.606 0.910
Se 0.189 0.055 0.181
Se 0.311 0.467 0.384
Se 0.394 0.864 0.590
Se 0.467 0.311 0.884
Se 0.533 0.689 0.116
Se 0.606 0.136 0.410
Se 0.689 0.533 0.616
Se 0.811 0.945 0.819
Se 0.864 0.394 0.090
Se 0.945 0.811 0.319

=====

Model two:
DFT (PBE-GGA) results for a geometry-optimized CrRhSe3 structure.

Computed properties:
Total magnetization = 0.00 μB per formula unit

a b c (Å): 4.651 4.651 4.651
angles (deg): 90.00 90.00 90.00
Atoms (fractional coordinates):
Cr 0.000 0.000 0.000
Rh 0.500 0.500 0.500
Se 0.000 0.000 0.500
Se 0.000 0.500 0.000
Se 0.500 0.000 0.000

=====

Of them, model two has the lowest stability.